i:
A relaxed Cr3ReSn crystal. Source: the Alexandria database, functional PBE.

Summary:
**Symmetry**: Pm-3m

a = 4.7064 Å, b = 4.7064 Å, c = 4.7064 Å
α = 90.00°, β = 90.00°, γ = 90.00°
Sites, in units of the cell vectors:
Cr 0.0000 0.0000 0.5000
Cr 0.0000 0.5000 0.0000
Cr 0.5000 0.0000 0.0000
Re 0.0000 0.0000 0.0000
Sn 0.5000 0.5000 0.5000

***

ii:
A relaxed Cr3ReSn crystal. Source: the Alexandria database, functional PBE.

Summary:
**Symmetry**: Pm-3m

a = 4.5363 Å, b = 4.5363 Å, c = 4.5363 Å
α = 90.00°, β = 90.00°, γ = 90.00°
Sites, in units of the cell vectors:
Cr 0.0000 0.0000 0.5000
Cr 0.0000 0.5000 0.0000
Cr 0.5000 0.0000 0.0000
Re 0.5000 0.5000 0.5000
Sn 0.0000 0.0000 0.0000

***

Of the structures shown above, i is the most stable.